The following is a PBE calculation of a geometry-optimized PrB2IrO8 structure, from Alexandria via LeMat-Bulk.

Cell lengths 4.9398, 4.9398, 6.7145 Å; angles 90.00, 90.00, 120.00 degrees
Closest atoms and distances in Å follow each position.
Positions (direct):
Pr: 0.0000 0.0000 0.0000  12 O 2.58-2.86
B: 0.3333 0.6667 0.2469  4 O 1.43-1.46
B: 0.6667 0.3333 0.7531  4 O 1.43-1.46
Ir: 0.0000 0.0000 0.5000  6 O 1.92
O: 0.1713 0.3426 0.3163  1 B 1.46
O: 0.1713 0.8287 0.3163  1 B 1.46
O: 0.3333 0.6667 0.0339  1 B 1.43
O: 0.3426 0.1713 0.6837  1 B 1.46
O: 0.6574 0.8287 0.3163  1 B 1.46
O: 0.6667 0.3333 0.9661  1 B 1.43
O: 0.8287 0.1713 0.6837  1 B 1.46
O: 0.8287 0.6574 0.6837  1 B 1.46

## Properties
* formation energy without anion corrections: -164.1 kJ/mol of atoms
* DOS(E_F): 9.03 states/eV per cell
* magnetic moment: 1.22 μB per formula unit